DFT (PBE-GGA) results for crystalline TiAsWSe2 at its relaxed geometry.

Energy (eV per atom): -5.855
Relative energy among the computed polymorphs (meV/atom): 0
N(E_F) (states/eV per cell): 7.954
Crystal system: tetragonal

Lattice parameters (Å, degrees): 4.9062 4.9062 4.9117 90.00 90.00 90.00
Space group P4/mmm (No. 123)
One atom of each set of equivalent atoms:
Ti 0.0000 0.0000 0.0000
As 0.5000 0.5000 0.0000
W 0.5000 0.5000 0.5000
Se 0.0000 0.5000 0.5000